18
Lattice="4.604 -4.612 0.000 4.604 4.612 0.000 0.000 0.000 12.247" Properties=species:S:1:pos:R:3 comment="GGA-PBE LiNpGaCl6, relaxed" raw_formation_energy_ev_per_atom=-1.46 density_g_cm3=3.36 m_tot_mub_per_fu=3.000 space_group="Cmm2, No. 35" pbc="T T T"
Li 0.000 0.000 0.000
Li 4.604 0.000 6.108
Np 0.000 0.000 8.260
Np 4.604 0.000 2.130
Ga 0.000 0.000 4.123
Ga 4.604 0.000 10.236
Cl 1.674 0.000 10.296
Cl 1.872 0.000 6.424
Cl 1.980 0.000 1.955
Cl 4.604 1.990 8.081
Cl 4.604 1.870 0.294
Cl 4.604 1.676 4.166
Cl 4.604 -1.676 4.166
Cl 4.604 -1.870 0.294
Cl 4.604 -1.990 8.081
Cl 7.227 0.000 1.955
Cl 7.335 0.000 6.424
Cl 7.533 0.000 10.296